Record 1
# Pm4NiAu3, optimized geometry, DFT PBE-GGA
data_Pm4NiAu3
_chemical_formula_sum 'Pm4 Ni1 Au3'
_cell_length_a 3.927
_cell_length_b 4.677
_cell_length_c 10.934
_cell_angle_alpha 90.00
_cell_angle_beta 90.00
_cell_angle_gamma 90.00
_space_group_name_H-M_alt 'P m m 2'
_space_group_IT_number 25
loop_
_space_group_symop_operation_xyz
'x,y,z'
'-x,-y,z'
'-x,y,z'
'x,-y,z'
loop_
_atom_site_label
_atom_site_fract_x
_atom_site_fract_y
_atom_site_fract_z
_atom_site_occupancy
Pm1 0.000 0.000 0.000 1
Pm2 0.000 0.500 0.262 1
Pm3 0.500 0.000 0.475 1
Pm4 0.500 0.500 0.767 1
Ni1 0.500 0.000 0.207 1
Au1 0.000 0.000 0.714 1
Au2 0.000 0.500 0.539 1
Au3 0.500 0.500 0.049 1
# Final energy = -0.1843 hartree per atom
# ΔE_f = -0.689 eV per atom
# M_tot = 0.0 μB/f.u.
# Calculated density = 10.2 g/cm³

***

Record 2
# GaOs3N, optimized geometry, DFT PBE-GGA
data_GaOs3N
_chemical_formula_sum 'Ga1 Os3 N1'
_cell_length_a 4.540
_cell_length_b 4.540
_cell_length_c 4.540
_cell_angle_alpha 90.00
_cell_angle_beta 90.00
_cell_angle_gamma 90.00
_space_group_name_H-M_alt 'P m -3 m'
_space_group_IT_number 221
_space_group_name_Hall '-P 4 2 3'
loop_
_atom_site_label
_atom_site_fract_x
_atom_site_fract_y
_atom_site_fract_z
_atom_site_occupancy
Ga1 0.000 0.000 0.000 1
Os1 0.000 0.000 0.500 1
N1 0.500 0.500 0.500 1
# Final energy = -0.2097 hartree per atom
# M_tot = 1.6 μB/f.u.
# Relative energy among the computed polymorphs = 2654 meV per atom
# Calculated density = 11.6 g/cm³

***

Record 3
# Ca2MnCu, optimized geometry, DFT PBE-GGA
data_Ca2MnCu
_chemical_formula_sum 'Ca8 Mn4 Cu4'
_cell_length_a 8.065
_cell_length_b 8.065
_cell_length_c 6.299
_cell_angle_alpha 90.00
_cell_angle_beta 90.00
_cell_angle_gamma 90.00
_space_group_name_H-M_alt 'I -4 2 d'
_space_group_IT_number 122
_space_group_name_Hall 'I -4 2bw'
loop_
_atom_site_label
_atom_site_fract_x
_atom_site_fract_y
_atom_site_fract_z
_atom_site_occupancy
Ca1 0.216 0.750 0.125 1
Mn1 0.000 0.000 0.500 1
Cu1 0.000 0.000 0.000 1
# Final energy = -0.1395 hartree per atom
# ΔE_f = 0.521 eV per atom
# M_tot = 3.7 μB/f.u.
# Relative energy among the computed polymorphs = 356 meV per atom
# Calculated density = 3.2 g/cm³

***

Record 4
# YSi3, optimized geometry, DFT PBE-GGA
data_YSi3
_chemical_formula_sum 'Y4 Si12'
_cell_length_a 6.764
_cell_length_b 6.764
_cell_length_c 6.764
_cell_angle_alpha 90.00
_cell_angle_beta 90.00
_cell_angle_gamma 90.00
_space_group_name_H-M_alt 'F m -3 m'
_space_group_IT_number 225
_space_group_name_Hall '-F 4 2 3'
loop_
_atom_site_label
_atom_site_fract_x
_atom_site_fract_y
_atom_site_fract_z
_atom_site_occupancy
Y1 0.000 0.000 0.000 1
Si1 0.000 0.000 0.500 1
Si2 0.250 0.250 0.250 1
# Final energy = -0.1999 hartree per atom
# M_tot = 0.0 μB/f.u.
# Calculated density = 3.7 g/cm³

***

What did the second record say?
# GaOs3N, optimized geometry, DFT PBE-GGA
data_GaOs3N
_chemical_formula_sum 'Ga1 Os3 N1'
_cell_length_a 4.540
_cell_length_b 4.540
_cell_length_c 4.540
_cell_angle_alpha 90.00
_cell_angle_beta 90.00
_cell_angle_gamma 90.00
_space_group_name_H-M_alt 'P m -3 m'
_space_group_IT_number 221
_space_group_name_Hall '-P 4 2 3'
loop_
_atom_site_label
_atom_site_fract_x
_atom_site_fract_y
_atom_site_fract_z
_atom_site_occupancy
Ga1 0.000 0.000 0.000 1
Os1 0.000 0.000 0.500 1
N1 0.500 0.500 0.500 1
# Final energy = -0.2097 hartree per atom
# M_tot = 1.6 μB/f.u.
# Relative energy among the computed polymorphs = 2654 meV per atom
# Calculated density = 11.6 g/cm³

***

Which formula does entry 4 have? YSi3